[1]
First-principles (PBE) data for an optimized crystal structure of ZnAgRu2, as listed in Alexandria via LeMat-Bulk.

The energy is -5.3682 eV/atom. As for the density: 10.50 g cm⁻³. As for the volume: 59.4 Å³/cell. The calculation puts the magnetic moment at 0.001 μB per atom. The calculated formation energy comes out at 0.301 eV/atom. The calculation puts the density of states at the Fermi level at 1.1069 states/eV per atom.

Unit cell a=9.2439 b=9.2439 c=9.2439 alpha=17.07 beta=17.07 gamma=17.07
Closest atoms and distances in Å follow each position.
Fractional coordinates of all 4 atoms:
Ag 0.7500 0.7500 0.7500  6 Ag 2.74, 6 Ru 2.88
Ru 0.9951 0.9951 0.9951  3 Zn 2.67, 6 Ru 2.74, 3 Ag 2.88
Ru 0.5049 0.5049 0.5049  3 Zn 2.67, 6 Ru 2.74, 3 Ag 2.88
Zn 0.2500 0.2500 0.2500  6 Ru 2.67, 6 Zn 2.74

[2]
First-principles (PBE) data for an optimized crystal structure of Ag2HgF8, as listed in Alexandria via LeMat-Bulk.

The energy is -2.9577 eV/atom. As for the distance to the lowest polymorph of the same formula: 0.078 eV per atom. As for the density: 5.39 g cm⁻³. As for the volume: 175.0 Å³/cell. The calculation puts the magnetic moment at 0.000 μB per atom. For the uncorrected formation energy, the calculation gives -1.051 eV per atom. The calculation puts the density of states at the Fermi level at 0.0869 states/eV per atom.

Unit cell a=4.9230 b=6.4601 c=7.5477 alpha=126.99 beta=109.03 gamma=90.00
Closest atoms and distances in Å follow each position.
Fractional coordinates of all 11 atoms:
Ag 0.8781 0.4486 0.7561  4 F 1.93-2.09
Ag 0.1219 0.5514 0.2439  4 F 1.93-2.09
Hg 0.5000 0.0000 0.0000  2 F 2.04
F 0.4327 0.6104 0.8654  1 Hg 2.04
F 0.7057 0.1341 0.4115  1 Ag 1.95
F 0.8448 0.6954 0.6897  1 Ag 1.93
F 0.9348 0.2297 0.8697  2 Ag 2.03-2.09
F 0.1552 0.3046 0.3103  1 Ag 1.93
F 0.2943 0.8659 0.5885  1 Ag 1.95
F 0.5673 0.3896 0.1346  1 Hg 2.04
F 0.0652 0.7703 0.1303  2 Ag 2.03-2.09

[3]
First-principles (PBE) data for an optimized crystal structure of NdDy6Y3Sc2, as listed in Alexandria via LeMat-Bulk.

The energy is -5.3304 eV/atom. As for the density: 6.65 g cm⁻³. As for the volume: 368.3 Å³/cell. The calculation puts the magnetic moment at 0.000 μB per atom. The calculated formation energy comes out at 0.039 eV/atom. The calculation puts the density of states at the Fermi level at 1.4345 states/eV per atom.

Unit cell a=6.0860 b=6.0860 c=11.6532 alpha=94.97 beta=94.97 gamma=119.96
Closest atoms and distances in Å follow each position.
Fractional coordinates of all 12 atoms:
Nd 0.0000 0.0000 0.0000  6 Dy 3.48, 6 Sc 3.51-3.52
Dy 0.9174 0.5813 0.7544  2 Sc 3.46-3.47, 1 Nd 3.48, 6 Dy 3.50-3.55, 3 Y 3.54-3.56
Dy 0.7461 0.7461 0.2455  2 Sc 3.47, 1 Nd 3.48, 6 Dy 3.50-3.55, 3 Y 3.55-3.56
Dy 0.0826 0.4187 0.2456  2 Sc 3.46-3.47, 1 Nd 3.48, 6 Dy 3.50-3.55, 3 Y 3.54-3.56
Dy 0.5813 0.9174 0.7544  2 Sc 3.46-3.47, 1 Nd 3.48, 6 Dy 3.50-3.55, 3 Y 3.54-3.56
Dy 0.2539 0.2539 0.7545  2 Sc 3.47, 1 Nd 3.48, 6 Dy 3.50-3.55, 3 Y 3.55-3.56
Dy 0.4187 0.0826 0.2456  2 Sc 3.46-3.47, 1 Nd 3.48, 6 Dy 3.50-3.55, 3 Y 3.54-3.56
Y 0.1673 0.8327 0.5000  6 Y 3.51-3.53, 6 Dy 3.54-3.56
Y 0.8327 0.1673 0.5000  6 Y 3.51-3.53, 6 Dy 3.54-3.56
Y 0.5000 0.5000 0.5000  6 Y 3.51-3.52, 6 Dy 3.55-3.56
Sc 0.3333 0.6667 0.0000  6 Dy 3.46-3.47, 3 Nd 3.51-3.52, 3 Sc 3.51-3.52
Sc 0.6667 0.3333 0.0000  6 Dy 3.46-3.47, 3 Nd 3.51-3.52, 3 Sc 3.51-3.52